No. 1
DFT (PBE) results for a relaxed structure of SmPa4Ge5.

DOS at the Fermi energy (states/eV per atom): 1.067
SG: No. 71
Calculated volume (Å³/atom): 25.4
Crystal system: orthorhombic
Total DFT energy (no corrections) (eV for the cell shown): -70.86

Lattice parameters (Å, degrees): 4.1598 5.8719 10.9930 105.49 100.91 90.00
Closest atoms and distances in Å follow each position.
Sites, in units of the cell vectors:
Sm  0.0000  0.0000  0.0000  6 Ge 2.94-3.00
Pa  0.4004  0.4004  0.8007  6 Ge 2.93-2.94
Pa  0.7994  0.7994  0.5988  6 Ge 2.89-2.94
Pa  0.2006  0.2006  0.4012  6 Ge 2.89-2.94
Pa  0.5996  0.5996  0.1993  6 Ge 2.93-2.94
Ge  0.6040  0.1040  0.2080  4 Pa 2.89-2.94, 2 Sm 3.00
Ge  0.8007  0.3007  0.6014  6 Pa 2.93-2.94
Ge  0.1993  0.6993  0.3986  6 Pa 2.93-2.94
Ge  0.0000  0.5000  0.0000  4 Pa 2.93, 2 Sm 2.94
Ge  0.3960  0.8960  0.7920  4 Pa 2.89-2.94, 2 Sm 3.00

=====

No. 2
DFT (PBE) results for a relaxed structure of YMg2Mo.

DOS at the Fermi energy (states/eV per atom): 0.830
SG: No. 123
Calculated volume (Å³/atom): 21.5
Crystal system: tetragonal
Total DFT energy (no corrections) (eV for the cell shown): -19.09

Lattice parameters (Å, degrees): 4.3816 4.3816 4.4762 90.00 90.00 90.00
Closest atoms and distances in Å follow each position.
Sites, in units of the cell vectors:
Mg  0.0000  0.0000  0.0000  4 Mg 3.10, 4 Mo 3.13, 4 Y 3.13
Mg  0.5000  0.5000  0.0000  4 Mg 3.10, 4 Mo 3.13, 4 Y 3.13
Mo  0.5000  0.0000  0.5000  4 Y 3.10, 8 Mg 3.13
Y  0.0000  0.5000  0.5000  4 Mo 3.10, 8 Mg 3.13

=====

No. 3
DFT (PBE) results for a relaxed structure of Dy3CdPt.

DOS at the Fermi energy (states/eV per atom): 0.778
SG: No. 2
Calculated volume (Å³/atom): 26.1
Crystal system: triclinic
Total DFT energy (no corrections) (eV for the cell shown): -47.78

Lattice parameters (Å, degrees): 5.7910 6.6720 8.8607 112.20 77.66 124.62
Closest atoms and distances in Å follow each position.
Sites, in units of the cell vectors:
Dy  0.5002  0.7972  0.0937  4 Pt 2.99-3.02
Dy  0.1228  0.4175  0.7148  2 Pt 2.93, 2 Cd 3.20
Dy  0.8758  0.7961  0.7156  2 Pt 2.93, 2 Cd 3.19-3.20
Dy  0.1242  0.2039  0.2844  2 Pt 2.93, 2 Cd 3.19-3.20
Dy  0.4998  0.2028  0.9063  4 Pt 2.99-3.02
Dy  0.8772  0.5825  0.2852  2 Pt 2.93, 2 Cd 3.20
Cd  0.5058  0.2073  0.4991  1 Cd 2.73
Cd  0.4942  0.7927  0.5009  1 Cd 2.73
Pt  0.9999  0.7496  0.0000  8 Dy 2.93-3.02
Pt  0.0001  0.2504  0.0000  8 Dy 2.93-3.02